DFT (PBE-GGA) results for Co3PtRh after structural relaxation.

Structure (extended XYZ):
```
10
Lattice="2.1414 -5.7350 0.0000 2.1414 5.7350 0.0000 0.0000 0.0000 5.3311" Properties=species:S:1:pos:R:3 pbc="T T T"
Co 2.1414 5.7291 3.9983
Co 2.1414 3.5987 0.0140
Co 2.1414 3.5987 2.6516
Co 2.1414 -3.5987 2.6795
Co 2.1414 -3.5987 5.3171
Co 2.1414 -5.7291 1.3328
Pt 2.1414 1.3879 3.9983
Pt 2.1414 -1.3879 1.3328
Rh 2.1414 1.3678 1.3328
Rh 2.1414 -1.3678 3.9983
```

Values from the calculation:
excess energy over the best structure of this formula in the dataset	0	meV/atom
M_tot	13.6	Bohr magnetons per cell
Fermi-level density of states	5.6	states/eV/f.u.
ΔE_f	0.067	eV/atom
symmetry	Cmcm

***

DFT (PBE-GGA) results for YTlTe after structural relaxation.

Structure (extended XYZ):
```
3
Lattice="4.1004 0.0000 0.0000 -2.0502 3.5511 0.0000 0.0000 0.0000 6.8463" Properties=species:S:1:pos:R:3 pbc="T T T"
Y 0.0000 0.0000 0.0000
Tl 0.0000 2.3674 4.4999
Te 2.0502 1.1837 1.8312
```

Values from the calculation:
uncorrected formation energy	-486	meV per atom
excess energy over the best structure of this formula in the dataset	225	meV/atom
M_tot	0.1	Bohr magnetons per cell
Fermi-level density of states	3.2	states/eV/f.u.
symmetry	P3m1

***

Question: Which value of excess energy over the best structure of this formula in the dataset does entry 1 give?
Answer: 0 meV/atom